! CsWF6 (GGA+U, optimized geometry); values from VASP
&SYSTEM
  ibrav = 0, nat = 8, ntyp = 3
/
ATOMIC_SPECIES
F 19.00 F.upf
Cs 132.91 Cs.upf
W 183.84 W.upf
ATOMIC_POSITIONS angstrom
F 1.148 2.194 -0.785
F 4.987 2.194 0.785
F 4.987 3.549 -1.568
F 1.148 4.910 -0.783
F 1.148 3.549 1.568
F 4.987 4.910 0.783
Cs 3.068 0.000 0.000
W 0.000 3.551 0.000
CELL_PARAMETERS angstrom
6.135 0.000 0.000
0.000 5.326 -3.075
0.000 0.000 6.150
! Mass density   3.559 g/cm³
! Space-group type   No. 149
! Total DFT energy (no corrections)   -41.192 eV per cell
! Magnetic moment   1.0 μB/cell
! DOS at the Fermi energy   6.754 states/eV/cell
! Relative energy among the computed polymorphs   0.000 eV/atom